This record from Alexandria via LeMat-Bulk describes a geometry-optimized ZnCo4O6 structure. The functional is PBE+U.

a b c (Å): 5.137 5.137 15.028
angles (deg): 90.00 90.00 146.70
Atoms (fractional coordinates):
Zn  0.157  0.843  0.750
Zn  0.843  0.157  0.250
Co  0.096  0.904  0.138
Co  0.096  0.904  0.362
Co  0.364  0.636  0.045
Co  0.364  0.636  0.455
Co  0.636  0.364  0.545
Co  0.636  0.364  0.955
Co  0.904  0.096  0.638
Co  0.904  0.096  0.862
O  0.000  0.000  0.000
O  0.000  0.000  0.500
O  0.201  0.799  0.250
O  0.277  0.723  0.574
O  0.277  0.723  0.926
O  0.455  0.545  0.158
O  0.455  0.545  0.342
O  0.545  0.455  0.658
O  0.545  0.455  0.842
O  0.723  0.277  0.074
O  0.723  0.277  0.426
O  0.799  0.201  0.750

Results
Calculated volume (Å³ per atom): 9.9
Raw total energy (eV for the cell shown): -124.0